# 1
A plane-wave DFT calculation with GGA-PBE was carried out for crystalline SrSnSbF2 at its relaxed geometry.

Cell and atoms, written as extended XYZ:
```
5
Lattice="-1.5638 3.8851 1.7727 -4.6353 -4.7087 6.2309 3.5846 0.1681 2.7937" Properties=species:S:1:pos:R:3 pbc="T T T"
Sb -1.3073 -0.3277 5.3986
F 1.7923 0.0841 1.3969
F -0.7819 1.9426 0.8864
Sn 0.0000 0.0000 0.0000
Sr -2.3177 -2.3544 3.1154
```

D(E_F), states/eV per atom: 0.637
Total energy, eV/atom: -3.99
Theoretical density, g/cm³: 3.24
ΔE_f (raw), meV/atom: -1275


# 2
A plane-wave DFT calculation with GGA-PBE was carried out for crystalline Pm2GaSb at its relaxed geometry.

Cell and atoms, written as extended XYZ:
```
8
Lattice="4.3384 0.0000 0.0000 0.0000 4.4416 -0.7889 0.0000 -0.1080 12.2901" Properties=species:S:1:pos:R:3 pbc="T T T"
Pm 3.2538 2.9840 3.9027
Pm 1.0846 1.3496 7.5984
Pm 3.2538 4.0765 10.0538
Pm 1.0846 0.2571 1.4474
Ga 1.0846 1.9647 11.0616
Ga 3.2538 2.3689 0.4395
Sb 1.0846 0.7974 4.4897
Sb 3.2538 3.5362 7.0115
```

D(E_F), states/eV per atom: 0.525
Total energy, eV/atom: -5.02
Theoretical density, g/cm³: 6.76
ΔE_f (raw), meV/atom: -855


# 3
A plane-wave DFT calculation with GGA-PBE was carried out for crystalline Sc3TlPd6 at its relaxed geometry.

Cell and atoms, written as extended XYZ:
```
20
Lattice="-2.3855 -4.2256 -1.8144 6.3987 -4.9151 3.0340 -5.9321 0.6793 6.2173" Properties=species:S:1:pos:R:3 pbc="T T T"
Sc 0.3945 -6.0115 6.3076
Sc -3.1456 -7.0593 6.0064
Sc -1.3983 -2.0244 4.7507
Sc 0.0907 -5.3540 3.1512
Sc -3.4346 -4.4359 0.2765
Sc 0.1055 -3.3880 0.5778
Tl -3.9102 -0.7007 5.4835
Tl 2.7681 -6.3845 2.5443
Pd 0.7480 -3.4319 5.5709
Pd -1.8072 -4.9266 5.0154
Pd -3.2054 -3.4894 6.9689
Pd 0.9793 -8.0419 4.6734
Pd 5.4377 -6.0434 2.5659
Pd -4.1187 -3.2795 4.3133
Pd 2.9591 -3.8367 3.7012
Pd -7.5700 -2.7959 4.7088
Pd -3.4382 -1.3759 2.3528
Pd 0.7465 -5.9284 0.0574
Pd 0.6171 -2.2438 2.9759
Pd -1.9381 -3.7384 2.4204
```

D(E_F), states/eV per atom: 0.470
Total energy, eV/atom: -5.84
Theoretical density, g/cm³: 8.85
Formation enthalpy at 0 K, eV/atom: -0.588